This record from Alexandria describes crystalline Tb4AuSe3 at its relaxed geometry. The functional is GGA-PBE.

The calculation puts the spin magnetization at 0.000 Bohr magnetons per cell. The volume comes out at 24.99 Å³/atom. The value obtained for the density of states at the Fermi level is 10.3 states/eV per cell. The total energy is -89.16 eV for the cell shown. For the uncorrected formation energy, the calculation gives -1.5412 eV per atom. For the relative energy among the computed polymorphs, the calculation gives 0.0 meV/atom.

Unit cell a=8.439 b=11.738 c=4.036 alpha=90.00 beta=90.00 gamma=90.00
Space group Cmmm (No. 65)
Symmetry-distinct sites (fractional):
Tb (0.000, 0.250, 0.000)
Tb (0.246, 0.000, 0.500)
Au (0.000, 0.000, 0.000)
Se (0.000, 0.500, 0.000)
Se (0.250, 0.250, 0.500)